# 1
A relaxed CePm3Zr2N6 crystal. Source: the Alexandria database, functional PBE-GGA.

Values from the calculation:
**DFT total energy**: -0.32418 Ha/atom
**Density**: 7.9 g/cm3

Unit cell a=5.9958 b=5.9958 c=6.0516 alpha=99.50 beta=99.50 gamma=119.94
Last column: nearest neighbours and their distance in Å.
Positions (direct):
Ce  0.0000  0.0000  0.0000  6 N 2.43-2.44
Pm  0.1667  0.8333  0.5000  6 N 2.49-2.59
Pm  0.5000  0.5000  0.5000  6 N 2.50-2.57
Pm  0.8333  0.1667  0.5000  6 N 2.49-2.59
Zr  0.3340  0.6660  0.0000  6 N 2.33-2.35
Zr  0.6660  0.3340  0.0000  6 N 2.33-2.35
N  0.0753  0.4202  0.2250  2 Zr 2.35, 1 Ce 2.44, 3 Pm 2.49-2.57
N  0.2716  0.2716  0.7791  2 Zr 2.33, 1 Ce 2.43, 3 Pm 2.50-2.59
N  0.4202  0.0753  0.2250  2 Zr 2.35, 1 Ce 2.44, 3 Pm 2.49-2.57
N  0.5798  0.9247  0.7750  2 Zr 2.35, 1 Ce 2.44, 3 Pm 2.49-2.57
N  0.7284  0.7284  0.2209  2 Zr 2.33, 1 Ce 2.43, 3 Pm 2.50-2.59
N  0.9247  0.5798  0.7750  2 Zr 2.35, 1 Ce 2.44, 3 Pm 2.49-2.57

***

# 2
A relaxed Ce2Pm3ZrN6 crystal. Source: the Alexandria database, functional PBE-GGA.

Values from the calculation:
**DFT total energy**: -0.31501 Ha/atom
**Density**: 7.9 g/cm3

Unit cell a=6.1088 b=6.1088 c=6.1186 alpha=99.56 beta=99.56 gamma=119.96
Last column: nearest neighbours and their distance in Å.
Positions (direct):
Ce  0.1668  0.8332  0.0000  6 N 2.46-2.48
Ce  0.8332  0.1668  0.0000  6 N 2.46-2.48
Pm  0.0000  0.0000  0.5000  6 N 2.54-2.62
Pm  0.3345  0.6655  0.5000  6 N 2.51-2.65
Pm  0.6655  0.3345  0.5000  6 N 2.51-2.65
Zr  0.5000  0.5000  0.0000  6 N 2.36-2.37
N  0.1040  0.4238  0.7719  1 Zr 2.36, 2 Ce 2.46, 2 Pm 2.54
N  0.2577  0.2577  0.2331  1 Zr 2.37, 2 Ce 2.48, 3 Pm 2.51-2.62
N  0.4238  0.1040  0.7719  1 Zr 2.36, 2 Ce 2.46, 2 Pm 2.54
N  0.5762  0.8960  0.2281  1 Zr 2.36, 2 Ce 2.46, 2 Pm 2.54
N  0.7423  0.7423  0.7669  1 Zr 2.37, 2 Ce 2.48, 3 Pm 2.51-2.62
N  0.8960  0.5762  0.2281  1 Zr 2.36, 2 Ce 2.46, 2 Pm 2.54

***

# 3
A relaxed Ce3Pm4ZrN8 crystal. Source: the Alexandria database, functional PBE-GGA.

Values from the calculation:
**DFT total energy**: -0.31262 Ha/atom
**Density**: 7.9 g/cm3

Unit cell a=7.0912 b=7.0912 c=7.0912 alpha=59.92 beta=59.92 gamma=59.92
Last column: nearest neighbours and their distance in Å.
Positions (direct):
Ce  0.0000  0.5000  0.5000  6 N 2.47
Ce  0.5000  0.0000  0.5000  6 N 2.47
Ce  0.5000  0.5000  0.0000  6 N 2.47
Pm  0.0000  0.0000  0.5000  6 N 2.55
Pm  0.0000  0.5000  0.0000  6 N 2.55
Pm  0.5000  0.0000  0.0000  6 N 2.55
Pm  0.5000  0.5000  0.5000  6 N 2.64
Zr  0.0000  0.0000  0.0000  6 N 2.38
N  0.2369  0.2369  0.7552  1 Zr 2.38, 2 Ce 2.47, 3 Pm 2.55-2.64
N  0.2369  0.7552  0.2369  1 Zr 2.38, 2 Ce 2.47, 3 Pm 2.55-2.64
N  0.2448  0.7631  0.7631  1 Zr 2.38, 2 Ce 2.47, 3 Pm 2.55-2.64
N  0.2540  0.2540  0.2540  3 Ce 2.47, 3 Pm 2.55
N  0.7460  0.7460  0.7460  3 Ce 2.47, 3 Pm 2.55
N  0.7552  0.2369  0.2369  1 Zr 2.38, 2 Ce 2.47, 3 Pm 2.55-2.64
N  0.7631  0.2448  0.7631  1 Zr 2.38, 2 Ce 2.47, 3 Pm 2.55-2.64
N  0.7631  0.7631  0.2448  1 Zr 2.38, 2 Ce 2.47, 3 Pm 2.55-2.64

***

# 4
A relaxed CePm2ZrN4 crystal. Source: the Alexandria database, functional PBE-GGA.

Values from the calculation:
**DFT total energy**: -0.31936 Ha/atom
**Density**: 7.9 g/cm3

Unit cell a=6.0610 b=3.4903 c=6.0762 alpha=90.00 beta=109.05 gamma=90.00
Last column: nearest neighbours and their distance in Å.
Positions (direct):
Ce  0.0000  0.0000  0.0000  6 N 2.44-2.45
Pm  0.0000  0.5000  0.5000  6 N 2.59-2.61
Pm  0.5000  0.0000  0.5000  6 N 2.51-2.52
Zr  0.5000  0.5000  0.0000  6 N 2.33-2.37
N  0.2575  0.5000  0.2289  1 Zr 2.33, 2 Ce 2.45, 2 Pm 2.52
N  0.2684  0.0000  0.7761  2 Zr 2.37, 1 Ce 2.44, 3 Pm 2.51-2.59
N  0.7316  0.0000  0.2239  2 Zr 2.37, 1 Ce 2.44, 3 Pm 2.51-2.59
N  0.7425  0.5000  0.7711  1 Zr 2.33, 2 Ce 2.45, 2 Pm 2.52

***

# 5
A relaxed CePr2N2 crystal. Source: the Alexandria database, functional PBE-GGA.

Values from the calculation:
**DFT total energy**: -0.27393 Ha/atom
**Density**: 7.2 g/cm3

Unit cell a=6.3695 b=6.3695 c=6.3695 alpha=147.44 beta=131.14 gamma=59.95
Last column: nearest neighbours and their distance in Å.
Positions (direct):
Ce  0.0000  0.0000  0.0000  4 N 2.47
Pr  0.3206  0.3206  0.0000  4 N 2.56-2.65
Pr  0.6794  0.6794  0.0000  4 N 2.56-2.65
N  0.1549  0.6549  0.5000  2 Ce 2.47, 4 Pr 2.56-2.65
N  0.8451  0.3451  0.5000  2 Ce 2.47, 4 Pr 2.56-2.65

***

# 6
A relaxed CePr3N3 crystal. Source: the Alexandria database, functional PBE-GGA.

Values from the calculation:
**DFT total energy**: -0.27523 Ha/atom
**E above lowest polymorph**: 0.0 meV/atom
**Density**: 6.3 g/cm3

Unit cell a=8.2495 b=8.2495 c=5.3963 alpha=90.00 beta=90.00 gamma=120.00
Last column: nearest neighbours and their distance in Å.
Positions (direct):
Ce  0.3333  0.6667  0.2500  3 N 2.32
Ce  0.6667  0.3333  0.7500  3 N 2.32
Pr  0.1665  0.3329  0.7500  4 N 2.41-2.70
Pr  0.1665  0.8335  0.7500  4 N 2.41-2.70
Pr  0.3329  0.1665  0.2500  4 N 2.41-2.70
Pr  0.6671  0.8335  0.7500  4 N 2.41-2.70
Pr  0.8335  0.1665  0.2500  4 N 2.41-2.70
Pr  0.8335  0.6671  0.2500  4 N 2.41-2.70
N  0.1711  0.3422  0.2500  1 Ce 2.32, 2 Pr 2.41
N  0.1711  0.8289  0.2500  1 Ce 2.32, 2 Pr 2.41
N  0.3422  0.1711  0.7500  1 Ce 2.32, 2 Pr 2.41
N  0.6578  0.8289  0.2500  1 Ce 2.32, 2 Pr 2.41
N  0.8289  0.1711  0.7500  1 Ce 2.32, 2 Pr 2.41
N  0.8289  0.6578  0.7500  1 Ce 2.32, 2 Pr 2.41

***

# 7
A relaxed CePr2N3 crystal. Source: the Alexandria database, functional PBE-GGA.

Values from the calculation:
**DFT total energy**: -0.29877 Ha/atom
**E above lowest polymorph**: 0.0 meV/atom
**Density**: 7.5 g/cm3

Unit cell a=6.3135 b=6.3135 c=6.3041 alpha=99.56 beta=99.56 gamma=120.00
Last column: nearest neighbours and their distance in Å.
Positions (direct):
Ce  0.0827  0.9173  0.7500  6 N 2.47-2.58
Ce  0.9173  0.0827  0.2500  6 N 2.47-2.58
Pr  0.2498  0.7502  0.2500  6 N 2.57-2.68
Pr  0.4163  0.5837  0.7500  6 N 2.57-2.68
Pr  0.5837  0.4163  0.2500  6 N 2.57-2.68
Pr  0.7502  0.2498  0.7500  6 N 2.57-2.68
N  0.0000  0.5000  0.5000  4 Pr 2.57, 2 Ce 2.58
N  0.1526  0.3065  0.0002  2 Ce 2.47, 4 Pr 2.58-2.68
N  0.3065  0.1526  0.5002  2 Ce 2.47, 4 Pr 2.58-2.68
N  0.5000  0.0000  0.0000  4 Pr 2.57, 2 Ce 2.58
N  0.6935  0.8474  0.4998  2 Ce 2.47, 4 Pr 2.58-2.68
N  0.8474  0.6935  0.9998  2 Ce 2.47, 4 Pr 2.58-2.68

***

# 8
A relaxed CePr2N crystal. Source: the Alexandria database, functional PBE-GGA.

Values from the calculation:
**DFT total energy**: -0.23609 Ha/atom
**Density**: 6.6 g/cm3

Unit cell a=10.0891 b=10.0891 c=10.0891 alpha=20.38 beta=20.38 gamma=20.38
Last column: nearest neighbours and their distance in Å.
Positions (direct):
Ce  0.0000  0.0000  0.0000  2 Pr 3.51, 6 Ce 3.57
Pr  0.1186  0.1186  0.1186  3 N 2.50
Pr  0.8814  0.8814  0.8814  3 N 2.50
N  0.5000  0.5000  0.5000  6 Pr 2.50

***

Number 1: formation energy (no corrections) -1.552 eV per atom. Number 2: formation energy (no corrections) -1.520 eV per atom. Number 3: formation energy (no corrections) -1.510 eV per atom. Number 4: formation energy (no corrections) -1.530 eV per atom. Number 5: formation energy (no corrections) -1.025 eV per atom. Number 6: formation energy (no corrections) -1.025 eV per atom. Number 7: formation energy (no corrections) -1.385 eV per atom. Number 8: formation energy (no corrections) -0.470 eV per atom.